Crystalline Ba3Ta at its relaxed geometry, computed with PBE.

Values from the calculation:
density = 5.60 g cm⁻³
ΔH_f (0 K) = 1.027 eV per atom
total magnetization = 3.779 μB/f.u.

```
8
Lattice="7.060 0.000 0.000 0.000 7.060 0.000 0.000 0.000 7.060" Properties=species:S:1:pos:R:3 pbc="T T T"
Ba 0.000 1.765 3.530
Ba 0.000 5.295 3.530
Ba 1.765 3.530 0.000
Ba 3.530 0.000 1.765
Ba 3.530 0.000 5.295
Ba 5.295 3.530 0.000
Ta 0.000 0.000 0.000
Ta 3.530 3.530 3.530
```